No. 1
VASP calculation (PBE-GGA) on a relaxed structure of HoCo2C2.

Structure (CIF):
```
data_HoCo2C2
_chemical_formula_sum 'Ho2 Co4 C4'
_cell_length_a 3.3368
_cell_length_b 3.3368
_cell_length_c 9.9673
_cell_angle_alpha 90.00
_cell_angle_beta 90.00
_cell_angle_gamma 90.00
_symmetry_space_group_name_H-M 'I 4/m m m'
_symmetry_Int_Tables_number 139
_symmetry_space_group_name_Hall '-I 4 2'
loop_
_atom_site_label
_atom_site_fract_x
_atom_site_fract_y
_atom_site_fract_z
Ho1 0.0000 0.0000 0.0000
Co1 0.0000 0.5000 0.2500
C1 0.0000 0.0000 0.3528
```

Energy of formation: -0.142 eV/atom
Total moment: 0.000 μB/f.u.

No. 2
VASP calculation (PBE-GGA) on a relaxed structure of HoCo3PC.

Structure (CIF):
```
data_HoCo3PC
_chemical_formula_sum 'Ho4 Co12 P4 C4'
_cell_length_a 5.2703
_cell_length_b 10.7576
_cell_length_c 5.4316
_cell_angle_alpha 90.00
_cell_angle_beta 90.00
_cell_angle_gamma 90.00
_symmetry_space_group_name_H-M 'C m c m'
_symmetry_Int_Tables_number 63
_symmetry_space_group_name_Hall '-C 2c 2'
loop_
_atom_site_label
_atom_site_fract_x
_atom_site_fract_y
_atom_site_fract_z
Ho1 0.0000 0.2483 0.2500
Co1 0.0000 0.3203 0.7500
Co2 0.2437 0.5000 0.0000
P1 0.0000 0.1217 0.7500
C1 0.0000 0.4881 0.7500
```

Energy of formation: -0.426 eV/atom
Total moment: 0.397 μB/f.u.

No. 3
VASP calculation (PBE-GGA) on a relaxed structure of HoCoSiC.

Structure (CIF):
```
data_HoCoSiC
_chemical_formula_sum 'Ho2 Co2 Si2 C2'
_cell_length_a 3.6721
_cell_length_b 3.6721
_cell_length_c 8.4775
_cell_angle_alpha 90.00
_cell_angle_beta 90.00
_cell_angle_gamma 90.00
_symmetry_space_group_name_H-M 'P 4/n m m'
_symmetry_Int_Tables_number 129
loop_
_symmetry_equiv_pos_as_xyz
'x,y,z'
'-x,-y,-z'
'-y+1/2,x,z'
'y+1/2,-x,-z'
'-x+1/2,-y+1/2,z'
'x+1/2,y+1/2,-z'
'y,-x+1/2,z'
'-y,x+1/2,-z'
'x+1/2,-y,-z'
'-x+1/2,y,z'
'-y,-x,-z'
'y,x,z'
'-x,y+1/2,-z'
'x,-y+1/2,z'
'y+1/2,x+1/2,-z'
'-y+1/2,-x+1/2,z'
loop_
_atom_site_label
_atom_site_fract_x
_atom_site_fract_y
_atom_site_fract_z
Ho1 0.2500 0.2500 0.1464
Co1 0.2500 0.7500 0.5000
Si1 0.2500 0.2500 0.6532
C1 0.2500 0.2500 0.8665
```

ΔE_f (raw): -0.522 eV per atom
Total moment: 0.000 μB/f.u.

No. 4
VASP calculation (PBE-GGA) on a relaxed structure of HoZn2Co2C.

Structure (CIF):
```
data_HoZn2Co2C
_chemical_formula_sum 'Ho2 Zn4 Co4 C2'
_cell_length_a 3.7795
_cell_length_b 3.7795
_cell_length_c 12.8814
_cell_angle_alpha 90.00
_cell_angle_beta 90.00
_cell_angle_gamma 90.00
_symmetry_space_group_name_H-M 'I 4/m m m'
_symmetry_Int_Tables_number 139
_symmetry_space_group_name_Hall '-I 4 2'
loop_
_atom_site_label
_atom_site_fract_x
_atom_site_fract_y
_atom_site_fract_z
Ho1 0.0000 0.0000 0.0000
Zn1 0.0000 0.5000 0.2500
Co1 0.0000 0.0000 0.3679
C1 0.0000 0.0000 0.5000
```

Energy of formation: 0.017 eV/atom
Total moment: 0.000 μB/f.u.

No. 5
VASP calculation (PBE-GGA) on a relaxed structure of CoC2I.

Structure (CIF):
```
data_CoC2I
_chemical_formula_sum 'Co4 C8 I4'
_cell_length_a 5.2219
_cell_length_b 5.2219
_cell_length_c 8.9917
_cell_angle_alpha 90.00
_cell_angle_beta 90.00
_cell_angle_gamma 90.00
_symmetry_space_group_name_H-M 'I -4 2 d'
_symmetry_Int_Tables_number 122
_symmetry_space_group_name_Hall 'I -4 2bw'
loop_
_atom_site_label
_atom_site_fract_x
_atom_site_fract_y
_atom_site_fract_z
Co1 0.0000 0.0000 0.0000
C1 0.1077 0.2500 0.1250
I1 0.0000 0.0000 0.5000
```

ΔE_f (raw): 1.566 eV per atom
Total moment: 0.000 μB/f.u.
ΔE to the lowest computed polymorph: 0 meV/atom

No. 6
VASP calculation (PBE-GGA) on a relaxed structure of Co2CI.

Structure (CIF):
```
data_Co2CI
_chemical_formula_sum 'Co8 C4 I4'
_cell_length_a 5.9247
_cell_length_b 5.9247
_cell_length_c 5.9247
_cell_angle_alpha 90.00
_cell_angle_beta 90.00
_cell_angle_gamma 90.00
_symmetry_space_group_name_H-M 'F m -3 m'
_symmetry_Int_Tables_number 225
_symmetry_space_group_name_Hall '-F 4 2 3'
loop_
_atom_site_label
_atom_site_fract_x
_atom_site_fract_y
_atom_site_fract_z
Co1 0.2500 0.2500 0.2500
C1 0.0000 0.0000 0.0000
I1 0.0000 0.0000 0.5000
```

ΔE_f (raw): 1.622 eV per atom
Total moment: 1.853 μB/f.u.
ΔE to the lowest computed polymorph: 1027 meV/atom

No. 7
VASP calculation (PBE-GGA) on a relaxed structure of Co2CI.

Structure (CIF):
```
data_Co2CI
_chemical_formula_sum 'Co8 C4 I4'
_cell_length_a 4.7452
_cell_length_b 4.7452
_cell_length_c 10.6017
_cell_angle_alpha 90.00
_cell_angle_beta 90.00
_cell_angle_gamma 90.00
_symmetry_space_group_name_H-M 'I -4 2 d'
_symmetry_Int_Tables_number 122
_symmetry_space_group_name_Hall 'I -4 2bw'
loop_
_atom_site_label
_atom_site_fract_x
_atom_site_fract_y
_atom_site_fract_z
Co1 0.1257 0.2500 0.1250
C1 0.0000 0.0000 0.0000
I1 0.0000 0.0000 0.5000
```

ΔE_f (raw): 0.595 eV per atom
Total moment: 0.006 μB/f.u.
ΔE to the lowest computed polymorph: 0 meV/atom

No. 8
VASP calculation (PBE-GGA) on a relaxed structure of CoC2I.

Structure (CIF):
```
data_CoC2I
_chemical_formula_sum 'Co4 C8 I4'
_cell_length_a 5.6984
_cell_length_b 5.6984
_cell_length_c 5.6984
_cell_angle_alpha 90.00
_cell_angle_beta 90.00
_cell_angle_gamma 90.00
_symmetry_space_group_name_H-M 'F m -3 m'
_symmetry_Int_Tables_number 225
_symmetry_space_group_name_Hall '-F 4 2 3'
loop_
_atom_site_label
_atom_site_fract_x
_atom_site_fract_y
_atom_site_fract_z
Co1 0.0000 0.0000 0.0000
C1 0.2500 0.2500 0.2500
I1 0.0000 0.0000 0.5000
```

ΔE_f (raw): 2.724 eV per atom
Total moment: 0.001 μB/f.u.
ΔE to the lowest computed polymorph: 1159 meV/atom

No. 9
VASP calculation (PBE-GGA) on a relaxed structure of CoCI2.

Structure (CIF):
```
data_CoCI2
_chemical_formula_sum 'Co4 C4 I8'
_cell_length_a 6.8214
_cell_length_b 6.8214
_cell_length_c 6.8214
_cell_angle_alpha 90.00
_cell_angle_beta 90.00
_cell_angle_gamma 90.00
_symmetry_space_group_name_H-M 'F m -3 m'
_symmetry_Int_Tables_number 225
_symmetry_space_group_name_Hall '-F 4 2 3'
loop_
_atom_site_label
_atom_site_fract_x
_atom_site_fract_y
_atom_site_fract_z
Co1 0.0000 0.0000 0.0000
C1 0.0000 0.0000 0.5000
I1 0.2500 0.2500 0.2500
```

ΔE_f (raw): 2.006 eV per atom
Total moment: 1.079 μB/f.u.
ΔE to the lowest computed polymorph: 487 meV/atom

No. 10
VASP calculation (PBE-GGA) on a relaxed structure of CoCI2.

Structure (CIF):
```
data_CoCI2
_chemical_formula_sum 'Co4 C4 I8'
_cell_length_a 5.7425
_cell_length_b 5.7425
_cell_length_c 11.7520
_cell_angle_alpha 90.00
_cell_angle_beta 90.00
_cell_angle_gamma 90.00
_symmetry_space_group_name_H-M 'I -4 2 d'
_symmetry_Int_Tables_number 122
_symmetry_space_group_name_Hall 'I -4 2bw'
loop_
_atom_site_label
_atom_site_fract_x
_atom_site_fract_y
_atom_site_fract_z
Co1 0.0000 0.0000 0.0000
C1 0.0000 0.0000 0.5000
I1 0.2469 0.2500 0.1250
```

ΔE_f (raw): 1.519 eV per atom
Total moment: 1.000 μB/f.u.
ΔE to the lowest computed polymorph: 0 meV/atom

No. 11
VASP calculation (PBE-GGA) on a relaxed structure of La2CoCI.

Structure (CIF):
```
data_La2CoCI
_chemical_formula_sum 'La2 Co1 C1 I1'
_cell_length_a 5.4719
_cell_length_b 5.4719
_cell_length_c 3.7205
_cell_angle_alpha 90.00
_cell_angle_beta 90.00
_cell_angle_gamma 90.00
_symmetry_space_group_name_H-M 'P 4/m m m'
_symmetry_Int_Tables_number 123
_symmetry_space_group_name_Hall '-P 4 2'
loop_
_atom_site_label
_atom_site_fract_x
_atom_site_fract_y
_atom_site_fract_z
La1 0.0000 0.5000 0.0000
Co1 0.0000 0.0000 0.5000
C1 0.0000 0.0000 0.0000
I1 0.5000 0.5000 0.5000
```

ΔE_f (raw): -0.436 eV per atom
Total moment: 0.000 μB/f.u.

No. 12
VASP calculation (PBE-GGA) on a relaxed structure of La8Co3CI4.

Structure (CIF):
```
data_La8Co3CI4
_chemical_formula_sum 'La16 Co6 C2 I8'
_cell_length_a 14.7614
_cell_length_b 7.9715
_cell_length_c 9.4024
_cell_angle_alpha 90.00
_cell_angle_beta 120.37
_cell_angle_gamma 90.00
_symmetry_space_group_name_H-M 'C 1 2/m 1'
_symmetry_Int_Tables_number 12
loop_
_symmetry_equiv_pos_as_xyz
'x,y,z'
'-x,-y,-z'
'-x,y,-z'
'x,-y,z'
'x+1/2,y+1/2,z'
'-x+1/2,-y+1/2,-z'
'-x+1/2,y+1/2,-z'
'x+1/2,-y+1/2,z'
loop_
_atom_site_label
_atom_site_fract_x
_atom_site_fract_y
_atom_site_fract_z
La1 0.0122 0.2435 0.3236
La2 0.2288 0.0000 0.6723
La3 0.2388 0.5000 0.6848
Co1 0.0000 0.5000 0.5000
Co2 0.2500 0.2500 0.5000
C1 0.0000 0.0000 0.5000
I1 0.0000 0.0000 0.0000
I2 0.0000 0.5000 0.0000
I3 0.2500 0.2500 0.0000
```

ΔE_f (raw): -0.670 eV per atom
Total moment: 0.000 μB/f.u.